TlCo2As: relaxed, PBEsol.

The total energy comes out at -22.21 eV/cell. Its total magnetization is 1.4 μB/cell. The density of states at the Fermi level comes out at 1.320 states/eV per atom. The calculation puts the energy relative to the elements at 0.2496 eV/atom.

The structure belongs to space group P4mm (No. 99); the cell edges are 3.1407, 3.1407 and 6.1743 Å and the angles 90.00°, 90.00° and 90.00°. The distinct sites, in fractional coordinates, are Tl at (0.0000, 0.0000, 0.0000), Co at (0.0000, 0.0000, 0.5177), Co at (0.5000, 0.5000, 0.7521) and As at (0.5000, 0.5000, 0.3820).

TeRhSe: relaxed, PBEsol.

For the formation energy without anion corrections, the calculation gives 58 kJ/mol of atoms. The total energy comes out at -54.81 eV/cell. Its total magnetization is 0.0 μB/cell. The density of states at the Fermi level comes out at 1.009 states/eV per atom. The calculation puts the relative energy among the computed polymorphs at 1000 meV/atom.

The structure belongs to space group F-43m (No. 216); the cell edges are 6.3688, 6.3688 and 6.3688 Å and the angles 90.00°, 90.00° and 90.00°. The distinct sites, in fractional coordinates, are Te at (0.0000, 0.0000, 0.0000), Rh at (0.0000, 0.0000, 0.5000) and Se at (0.2500, 0.2500, 0.2500).

CdH5Br3N2: relaxed, PBEsol.

The total energy comes out at -183.69 eV/cell. Its total magnetization is 0.0 μB/cell. The density of states at the Fermi level comes out at 0.000 states/eV per atom.

The structure belongs to space group P2_1/c (No. 14); the cell edges are 3.8414, 18.5386 and 9.5634 Å and the angles 90.00°, 93.43° and 90.00°. The distinct sites, in fractional coordinates, are Cd at (0.2202, 0.0692, 0.3543), H at (0.0250, 0.5888, 0.5208), H at (0.0490, 0.6209, 0.6835), H at (0.1943, 0.6978, 0.4342), H at (0.2235, 0.7321, 0.5994), H at (0.4841, 0.1663, 0.9457), Br at (0.1938, 0.2063, 0.2618), Br at (0.2476, 0.5864, 0.9421), Br at (0.3047, 0.5250, 0.3286), N at (0.0093, 0.1348, 0.9200) and N at (0.2527, 0.6851, 0.5403).

Look up the total magnetization of the second one. 0.0 μB/cell